# 1
Compound: PaSiS4Cl
Source: Alexandria via LeMat-Bulk
Functional: PBE
Structure: optimized geometry

Uncorrected formation energy in eV per formula unit: -7.50
Energy in eV/cell: -81.55

a = 6.967 Å, b = 6.967 Å, c = 7.825 Å
α = 77.50°, β = 77.50°, γ = 75.60°
Fractional positions:
1 Pa 0.779 0.779 0.124
2 Pa 0.221 0.221 0.876
3 S 0.215 0.215 0.533
4 S 0.506 0.141 0.115
5 S 0.859 0.494 0.885
6 S 0.456 0.456 0.698
7 S 0.141 0.506 0.115
8 S 0.544 0.544 0.302
9 S 0.785 0.785 0.467
10 S 0.494 0.859 0.885
11 Cl 0.031 0.031 0.181
12 Cl 0.969 0.969 0.819
13 Si 0.646 0.646 0.711
14 Si 0.354 0.354 0.289

# 2
Compound: PaSbCl
Source: Alexandria via LeMat-Bulk
Functional: PBE
Structure: optimized geometry

Uncorrected formation energy in eV per formula unit: -2.38
Energy relative to the lowest polymorph listed for this composition in meV/atom: 122
Energy in eV/cell: -17.85

a = 4.020 Å, b = 4.712 Å, c = 4.712 Å
α = 120.00°, β = 90.00°, γ = 90.00°
Site moments in Bohr magnetons follow the coordinates.
Fractional positions:
1 Sb 0.667 0.667 0.333  -0.04
2 Pa 0.167 0.000 0.000  0.95
3 Cl 0.167 0.333 0.667  -0.02

# 3
Compound: PaSbCl
Source: Alexandria via LeMat-Bulk
Functional: PBE
Structure: optimized geometry

Uncorrected formation energy in eV per formula unit: -2.75
Energy relative to the lowest polymorph listed for this composition in meV/atom: 0
Energy in eV/cell: -36.43

a = 4.311 Å, b = 4.311 Å, c = 8.213 Å
α = 90.00°, β = 90.00°, γ = 90.00°
Site moments in Bohr magnetons follow the coordinates.
Fractional positions:
1 Sb 0.250 0.250 0.362  -0.04
2 Sb 0.750 0.750 0.638  -0.04
3 Pa 0.750 0.750 0.252  0.88
4 Pa 0.250 0.250 0.748  0.88
5 Cl 0.750 0.250 0.000  -0.01
6 Cl 0.250 0.750 0.000  -0.01

# 4
Compound: ScPaCl6
Source: Alexandria via LeMat-Bulk
Functional: PBE
Structure: optimized geometry

Uncorrected formation energy in eV per formula unit: -14.86
Energy relative to the lowest polymorph listed for this composition in meV/atom: 34
Energy in eV/cell: -41.77

a = 6.763 Å, b = 6.762 Å, c = 7.218 Å
α = 62.08°, β = 62.07°, γ = 60.02°
Site moments in Bohr magnetons follow the coordinates.
Fractional positions:
1 Cl 0.124 0.395 0.742  -0.02
2 Cl 0.876 0.605 0.258  -0.02
3 Cl 0.740 0.124 0.741  -0.02
4 Cl 0.260 0.876 0.259  -0.02
5 Cl 0.395 0.740 0.741  -0.02
6 Cl 0.605 0.260 0.259  -0.02
7 Sc 0.500 0.500 0.500  0.35
8 Pa 0.000 0.000 0.000  1.54

# 5
Compound: ScPaCl6
Source: Alexandria via LeMat-Bulk
Functional: PBE
Structure: optimized geometry

Uncorrected formation energy in eV per formula unit: -15.13
Energy relative to the lowest polymorph listed for this composition in meV/atom: 0
Energy in eV/cell: -42.04

a = 6.495 Å, b = 7.129 Å, c = 7.129 Å
α = 125.75°, β = 98.39°, γ = 98.39°
Site moments in Bohr magnetons follow the coordinates.
Fractional positions:
1 Sc 0.000 0.000 0.000  0.41
2 Cl 0.243 0.754 0.754  -0.01
3 Cl 0.762 0.908 0.622  -0.01
4 Cl 0.238 0.092 0.378  -0.01
5 Cl 0.762 0.622 0.908  -0.01
6 Cl 0.757 0.246 0.246  -0.01
7 Cl 0.238 0.378 0.092  -0.01
8 Pa 0.500 0.500 0.500  1.40

# 6
Compound: Pa3Se5Cl
Source: Alexandria via LeMat-Bulk
Functional: PBE
Structure: optimized geometry

Uncorrected formation energy in eV per formula unit: -11.14
Energy in eV/cell: -117.79

a = 7.966 Å, b = 7.966 Å, c = 10.472 Å
α = 69.24°, β = 69.24°, γ = 74.31°
Site moments in Bohr magnetons follow the coordinates.
Fractional positions:
1 Cl 0.098 0.098 0.698  -0.02
2 Cl 0.902 0.902 0.302  -0.02
3 Se 0.035 0.629 0.662  -0.04
4 Se 0.295 0.705 0.000  -0.04
5 Se 0.570 0.570 0.631  -0.04
6 Se 0.965 0.371 0.338  -0.04
7 Se 0.705 0.295 0.000  -0.04
8 Se 0.768 0.768 0.025  -0.04
9 Se 0.232 0.232 0.975  -0.04
10 Se 0.430 0.430 0.369  -0.04
11 Se 0.629 0.035 0.662  -0.04
12 Se 0.371 0.965 0.338  -0.04
13 Pa 0.665 0.665 0.328  1.24
14 Pa 0.000 0.000 0.000  1.35
15 Pa 0.000 0.000 0.500  1.31
16 Pa 0.665 0.665 0.833  1.08
17 Pa 0.335 0.335 0.672  1.24
18 Pa 0.335 0.335 0.167  1.08

Question: Among the records above, which one has the highest uncorrected formation energy?
Answer: number 2